# ScHg2Ir PBE-GGA relaxed
data_ScHg2Ir
_space_group_name_H-M_alt 'F m -3 m'
_space_group_IT_number 225
_space_group_name_Hall '-F 4 2 3'
_cell_length_a 6.706
_cell_length_b 6.706
_cell_length_c 6.706
_cell_angle_alpha 90.00
_cell_angle_beta 90.00
_cell_angle_gamma 90.00
loop_
_atom_site_label
_atom_site_type_symbol
_atom_site_fract_x
_atom_site_fract_y
_atom_site_fract_z
Sc1 Sc 0.000 0.000 0.000
Hg1 Hg 0.250 0.250 0.250
Ir1 Ir 0.000 0.000 0.500
# - DFT total energy: -4.07 eV/atom
# - Relative energy among the computed polymorphs: 161.1 meV/atom
# - Energy of formation: -0.121 eV/atom